# 1
Entry from Alexandria via LeMat-Bulk: a relaxed RbCa2InCu crystal (PBE-GGA).

Unit cell a=5.6388 b=5.6388 c=6.1232 alpha=90.00 beta=90.00 gamma=90.00
With the nearest neighbours (Å) after each atom.
Space group P4/mmm (No. 123)
One atom of each set of equivalent atoms:
Rb  0.0000  0.0000  0.0000 (multiplicity 1)  2 Cu 3.06
Ca  0.0000  0.5000  0.5000 (multiplicity 2)  2 Cu 2.82
In  0.5000  0.5000  0.0000 (multiplicity 1)  4 Rb 3.99, 8 Ca 4.16
Cu  0.0000  0.0000  0.5000 (multiplicity 1)  4 Ca 2.82, 2 Rb 3.06

## Properties
- DOS at the Fermi energy (states/eV/cell) = 4.27
- crystal system = tetragonal
- formation energy (eV per atom) = 0.20

# 2
Entry from Alexandria via LeMat-Bulk: a relaxed Mg2NiSe crystal (PBE-GGA).

Unit cell a=3.8494 b=3.6790 c=9.9022 alpha=90.00 beta=90.00 gamma=90.00
With the nearest neighbours (Å) after each atom.
Space group Amm2 (No. 38)
One atom of each set of equivalent atoms:
Mg  0.0000  0.0000  0.0000 (multiplicity 2)  4 Ni 2.76, 3 Se 2.78-2.85
Mg  0.5000  0.0000  0.3061 (multiplicity 2)  3 Ni 2.65-2.95, 4 Se 2.80
Ni  0.5000  0.0000  0.5735 (multiplicity 2)  2 Se 2.41, 1 Mg 2.65
Se  0.0000  0.0000  0.7194 (multiplicity 2)  2 Ni 2.41

## Properties
- raw formation energy (eV per atom) = -0.47
- DOS at the Fermi energy (states/eV/cell) = 2.30
- crystal system = orthorhombic

# 3
Entry from Alexandria via LeMat-Bulk: a relaxed LuAlFe crystal (PBE-GGA).

Unit cell a=4.2097 b=4.2097 c=3.4888 alpha=90.00 beta=90.00 gamma=120.00
With the nearest neighbours (Å) after each atom.
Space group P-6m2 (No. 187)
One atom of each set of equivalent atoms:
Lu  0.0000  0.0000  0.0000 (multiplicity 1)  6 Fe 2.99, 6 Al 2.99
Al  0.3333  0.6667  0.5000 (multiplicity 1)  3 Fe 2.43
Fe  0.6667  0.3333  0.5000 (multiplicity 1)  3 Al 2.43

## Properties
- DOS at the Fermi energy (states/eV/cell) = 2.43
- crystal system = hexagonal
- formation energy (eV per atom) = -0.13

# 4
Entry from Alexandria via LeMat-Bulk: a relaxed NaCo3Mo crystal (PBE-GGA).

Unit cell a=4.5062 b=4.5062 c=4.5062 alpha=90.00 beta=90.00 gamma=90.00
With the nearest neighbours (Å) after each atom.
Space group Pm-3m (No. 221)
One atom of each set of equivalent atoms:
Na  0.0000  0.0000  0.0000 (multiplicity 1)  12 Co 3.19
Co  0.0000  0.5000  0.5000 (multiplicity 3)  2 Mo 2.25
Mo  0.5000  0.5000  0.5000 (multiplicity 1)  6 Co 2.25

## Properties
- distance to the lowest polymorph of the same formula (eV per formula unit) = 0.00
- DOS at the Fermi energy (states/eV/cell) = 5.37
- crystal system = cubic
- formation energy (eV per atom) = 1.24

# 5
Entry from Alexandria via LeMat-Bulk: a relaxed HgMoSe crystal (PBE-GGA).

Unit cell a=3.1014 b=3.1014 c=12.8123 alpha=90.00 beta=90.00 gamma=90.00
With the nearest neighbours (Å) after each atom.
Space group I4mm (No. 107)
One atom of each set of equivalent atoms:
Hg  0.0000  0.0000  0.0000 (multiplicity 2)  4 Mo 2.97, 4 Hg 3.10
Mo  0.0000  0.0000  0.6564 (multiplicity 2)  4 Se 2.61
Se  0.0000  0.0000  0.2665 (multiplicity 2)  4 Mo 2.61

## Properties
- raw formation energy (eV per atom) = 0.10
- distance to the lowest polymorph of the same formula (eV per formula unit) = 0.39
- DOS at the Fermi energy (states/eV/cell) = 3.67
- crystal system = tetragonal

# 6
Entry from Alexandria via LeMat-Bulk: a relaxed TiAlTe4 crystal (PBE-GGA).

Unit cell a=14.6172 b=3.8441 c=6.8986 alpha=90.00 beta=117.61 gamma=90.00
With the nearest neighbours (Å) after each atom.
Space group C2/m (No. 12)
One atom of each set of equivalent atoms:
Ti  0.0000  0.0000  0.0000 (multiplicity 2)  6 Te 2.77-2.79
Al  0.0000  0.5000  0.5000 (multiplicity 2)  6 Te 2.76-2.89
Te  0.1239  0.0000  0.7904 (multiplicity 4)  2 Al 2.76, 1 Ti 2.79
Te  0.1287  0.5000  0.2834 (multiplicity 4)  2 Ti 2.77, 1 Al 2.89

## Properties
- raw formation energy (eV per atom) = -0.44
- distance to the lowest polymorph of the same formula (eV per formula unit) = 0.00
- DOS at the Fermi energy (states/eV/cell) = 5.17
- crystal system = monoclinic

> What is the DOS at the Fermi energy in the fourth record?

5.37 states/eV/cell